Record 1
Below is ScGePd4 after structural relaxation, with properties calculated at the PBE-GGA level.

a = 5.292 Å, b = 7.699 Å, c = 5.118 Å
α = 90.00°, β = 111.55°, γ = 90.00°
Element x y z (fractional)
Sc1 0.000 0.000 0.000
Sc2 0.000 0.500 0.500
Ge1 0.500 0.000 0.500
Ge2 0.500 0.500 0.000
Pd1 0.122 0.157 0.583
Pd2 0.122 0.343 0.083
Pd3 0.394 0.672 0.369
Pd4 0.394 0.828 0.869
Pd5 0.606 0.172 0.131
Pd6 0.606 0.328 0.631
Pd7 0.878 0.657 0.917
Pd8 0.878 0.843 0.417

Computed properties:
- Calculated volume: 16.16 Å³ per atom
- Size of the total moment: 0.0 μB/cell
- Energy relative to the elements: -0.64 eV per atom

---

Record 2
Below is Pr4Sm3 after structural relaxation, with properties calculated at the PBE-GGA level.

a = 18.402 Å, b = 18.402 Å, c = 18.402 Å
α = 168.51°, β = 168.51°, γ = 16.27°
Element x y z (fractional)
Pr1 0.071 0.071 0.000
Pr2 0.356 0.356 0.000
Pr3 0.644 0.644 0.000
Pr4 0.929 0.929 0.000
Sm1 0.215 0.215 0.000
Sm2 0.500 0.500 0.000
Sm3 0.785 0.785 0.000

Computed properties:
- Calculated volume: 35.30 Å³ per atom
- Size of the total moment: 0.0 μB/cell
- Energy relative to the elements: 0.02 eV per atom

---

Record 3
Below is Y2HgBi after structural relaxation, with properties calculated at the PBE-GGA level.

a = 12.274 Å, b = 12.274 Å, c = 4.639 Å
α = 90.00°, β = 90.00°, γ = 160.31°
Element x y z (fractional)
Y1 0.063 0.937 0.750
Y2 0.323 0.677 0.750
Y3 0.677 0.323 0.250
Y4 0.937 0.063 0.250
Hg1 0.456 0.544 0.750
Hg2 0.544 0.456 0.250
Bi1 0.191 0.809 0.750
Bi2 0.809 0.191 0.250

Computed properties:
- Calculated volume: 29.44 Å³ per atom
- Size of the total moment: 0.0 μB/cell
- Energy relative to the elements: -0.64 eV per atom